a.
Material: USeCl2
Method: DFT, PBE
State: relaxed

Cell lengths 3.6989, 4.3823, 7.9216 Å; angles 105.92, 90.00, 90.00 degrees
With the nearest neighbours (Å) after each atom.
Positions (direct):
U  0.0000  0.7353  0.5953  3 Cl 2.50-2.77
Se  0.5000  0.2653  0.6560  4 U 2.90
Cl  0.0000  0.8982  0.9239  1 U 2.50
Cl  0.5000  0.6012  0.3248  2 U 2.77

Properties
crystal system = monoclinic
V = 30.87 Å³/atom
density = 5.2 g/cm³
size of the total moment = 2.0 μB/f.u.

=====

b.
Material: USeCl2
Method: DFT, PBE
State: relaxed

Cell lengths 6.6631, 6.9679, 11.8933 Å; angles 90.00, 90.00, 90.00 degrees
With the nearest neighbours (Å) after each atom.
Positions (direct):
U  0.0001  0.2500  0.5965  4 Cl 2.70-2.74, 2 Se 2.71
U  0.9999  0.7500  0.4035  4 Cl 2.70-2.74, 2 Se 2.71
U  0.5001  0.2500  0.9034  4 Cl 2.70-2.74, 2 Se 2.71
U  0.4999  0.7500  0.0966  4 Cl 2.70-2.74, 2 Se 2.71
Se  0.2498  0.5905  0.2499  2 U 2.71
Se  0.7502  0.4095  0.7501  2 U 2.71
Se  0.7498  0.9095  0.2501  2 U 2.71
Se  0.2502  0.0905  0.7499  2 U 2.71
Cl  0.7161  0.9246  0.9291  2 U 2.70-2.74
Cl  0.2839  0.0754  0.0709  2 U 2.70-2.74
Cl  0.2161  0.5754  0.5709  2 U 2.70-2.74
Cl  0.7839  0.4246  0.4291  2 U 2.70-2.74
Cl  0.7160  0.4246  0.0709  2 U 2.70-2.74
Cl  0.2840  0.5754  0.9291  2 U 2.70-2.74
Cl  0.2160  0.0754  0.4290  2 U 2.70-2.74
Cl  0.7840  0.9246  0.5710  2 U 2.70-2.74

Properties
crystal system = orthorhombic
V = 34.51 Å³/atom
density = 4.7 g/cm³
size of the total moment = 2.0 μB/f.u.

=====

Top of the stability list: b, leading by 0.049 eV/atom.

=====

a.
Material: V2SeCl
Method: DFT, PBE
State: relaxed

Cell lengths 5.5717, 5.5717, 6.8651 Å; angles 66.06, 66.06, 90.00 degrees
With the nearest neighbours (Å) after each atom.
Positions (direct):
V  0.6159  0.1250  0.2500  2 Cl 2.39, 2 Se 2.45
V  0.1341  0.6250  0.2500  2 Cl 2.39, 2 Se 2.45
V  0.3750  0.3841  0.7500  2 Cl 2.39, 2 Se 2.45
V  0.8750  0.8659  0.7500  2 Cl 2.39, 2 Se 2.45
Se  0.0000  0.0000  0.0000  4 V 2.45
Se  0.7500  0.2500  0.5000  4 V 2.45
Cl  0.5000  0.5000  0.0000  4 V 2.39
Cl  0.2500  0.7500  0.5000  4 V 2.39

Properties
crystal system = tetragonal
V = 21.82 Å³/atom
density = 4.1 g/cm³
size of the total moment = 5.3 μB/f.u.

=====

b.
Material: V2SeCl
Method: DFT, PBE
State: relaxed

Cell lengths 4.3819, 4.3819, 4.3819 Å; angles 60.00, 60.00, 60.00 degrees
With the nearest neighbours (Å) after each atom.
Positions (direct):
V  0.2500  0.2500  0.2500  4 Se 2.68, 4 Cl 2.68
V  0.7500  0.7500  0.7500  4 Se 2.68, 4 Cl 2.68
Se  0.5000  0.5000  0.5000  8 V 2.68
Cl  0.0000  0.0000  0.0000  8 V 2.68

Properties
crystal system = cubic
V = 14.87 Å³/atom
density = 6.0 g/cm³
size of the total moment = 3.1 μB/f.u.

=====

Top of the stability list: a, leading by 0.026 eV/atom.

=====

a.
Material: VSe2Cl
Method: DFT, PBE
State: relaxed

Cell lengths 6.5405, 6.5405, 6.8577 Å; angles 61.52, 61.52, 90.00 degrees
With the nearest neighbours (Å) after each atom.
Positions (direct):
V  0.0000  0.0000  0.0000  4 Se 2.32
V  0.7500  0.2500  0.5000  4 Se 2.32
Se  0.7149  0.1250  0.2500  2 V 2.32
Se  0.0351  0.6250  0.2500  2 V 2.32
Se  0.3750  0.2851  0.7500  2 V 2.32
Se  0.8750  0.9649  0.7500  2 V 2.32
Cl  0.5000  0.5000  0.0000  4 Se 3.04
Cl  0.2500  0.7500  0.5000  4 Se 3.04

Properties
crystal system = tetragonal
V = 27.08 Å³/atom
density = 3.7 g/cm³
size of the total moment = 0.1 μB/f.u.

=====

b.
Material: VSe2Cl
Method: DFT, PBE
State: relaxed

Cell lengths 12.1260, 12.1260, 12.1260 Å; angles 13.56, 13.56, 13.56 degrees
With the nearest neighbours (Å) after each atom.
Positions (direct):
V  0.0000  0.0000  0.0000  2 Se 2.49
Se  0.9309  0.9309  0.9309  1 V 2.49
Se  0.0691  0.0691  0.0691  1 V 2.49
Cl  0.5000  0.5000  0.5000  6 Cl 2.86

Properties
crystal system = trigonal
V = 21.32 Å³/atom
density = 4.8 g/cm³
size of the total moment = 1.7 μB/f.u.

=====

Top of the stability list: a, leading by 0.641 eV/atom.

=====

a.
Material: VSe2Cl
Method: DFT, PBE
State: relaxed

Cell lengths 8.3310, 8.3310, 8.3310 Å; angles 24.07, 24.07, 24.07 degrees
With the nearest neighbours (Å) after each atom.
Positions (direct):
V  0.5000  0.5000  0.5000  6 Se 2.50
Se  0.8948  0.8948  0.8948  3 V 2.50, 1 Cl 2.55
Se  0.1052  0.1052  0.1052  3 V 2.50, 1 Cl 2.55
Cl  0.0000  0.0000  0.0000  2 Se 2.55

Properties
crystal system = trigonal
V = 21.13 Å³/atom
density = 4.8 g/cm³
size of the total moment = 0.0 μB/f.u.

=====

b.
Material: VSe2Cl
Method: DFT, PBE
State: relaxed

Cell lengths 5.6583, 6.0833, 10.0475 Å; angles 90.02, 90.00, 90.00 degrees
With the nearest neighbours (Å) after each atom.
Positions (direct):
V  0.9995  0.2500  0.5644  4 Se 2.36-2.45, 2 Cl 2.51
V  0.0005  0.7500  0.4356  4 Se 2.36-2.45, 2 Cl 2.51
V  0.4995  0.2500  0.9356  4 Se 2.36-2.45, 2 Cl 2.51
V  0.5005  0.7500  0.0644  4 Se 2.36-2.45, 2 Cl 2.51
Se  0.7546  0.9259  0.9118  2 V 2.36-2.45
Se  0.2454  0.0741  0.0882  2 V 2.36-2.45
Se  0.2546  0.5741  0.5883  2 V 2.36-2.45
Se  0.7454  0.4259  0.4117  2 V 2.36-2.45
Se  0.7543  0.4258  0.0883  2 V 2.36-2.45
Se  0.2457  0.5742  0.9117  2 V 2.36-2.45
Se  0.2543  0.0742  0.4117  2 V 2.36-2.45
Se  0.7457  0.9258  0.5883  2 V 2.36-2.45
Cl  0.2497  0.6001  0.2500  2 V 2.51
Cl  0.7503  0.3999  0.7500  2 V 2.51
Cl  0.7497  0.8999  0.2500  2 V 2.51
Cl  0.2503  0.1001  0.7500  2 V 2.51

Properties
crystal system = monoclinic
V = 21.62 Å³/atom
density = 4.7 g/cm³
size of the total moment = 0.1 μB/f.u.

=====

Top of the stability list: b, leading by 0.156 eV/atom.

=====

a.
Material: VSe3Cl
Method: DFT, PBE
State: relaxed

Cell lengths 5.2102, 7.1807, 7.1888 Å; angles 120.04, 90.00, 90.00 degrees
With the nearest neighbours (Å) after each atom.
Positions (direct):
V  0.0000  0.0000  0.0000  6 Se 2.43, 2 V 2.60-2.61
V  0.5000  0.0000  0.0000  6 Se 2.43, 2 V 2.60-2.61
Se  0.7500  0.6698  0.8349  2 V 2.43
Se  0.2500  0.8351  0.6703  2 V 2.43
Se  0.2500  0.3302  0.1651  2 V 2.43
Se  0.7500  0.1649  0.3298  2 V 2.43
Se  0.2500  0.8351  0.1648  2 V 2.43
Se  0.7500  0.1649  0.8352  2 V 2.43
Cl  0.7500  0.6672  0.3337  12 Se 3.34-3.60
Cl  0.2500  0.3327  0.6664  12 Se 3.34-3.60

Properties
crystal system = orthorhombic
V = 23.28 Å³/atom
density = 4.6 g/cm³
size of the total moment = 0.0 μB/f.u.

=====

b.
Material: VSe3Cl
Method: DFT, PBE
State: relaxed

Cell lengths 4.9461, 4.9461, 4.9461 Å; angles 90.00, 90.00, 90.00 degrees
With the nearest neighbours (Å) after each atom.
Positions (direct):
V  0.5000  0.5000  0.5000  12 Se 3.50
Se  0.0000  0.5000  0.0000  2 Cl 2.47
Se  0.0000  0.0000  0.5000  2 Cl 2.47
Se  0.5000  0.0000  0.0000  2 Cl 2.47
Cl  0.0000  0.0000  0.0000  6 Se 2.47

Properties
crystal system = cubic
V = 24.20 Å³/atom
density = 4.4 g/cm³
size of the total moment = 1.3 μB/f.u.

=====

c.
Material: VSe3Cl
Method: DFT, PBE
State: relaxed

Cell lengths 4.7969, 4.7969, 4.7969 Å; angles 90.00, 90.00, 90.00 degrees
With the nearest neighbours (Å) after each atom.
Positions (direct):
V  0.0000  0.0000  0.0000  6 Se 2.40
Se  0.0000  0.5000  0.0000  2 V 2.40
Se  0.0000  0.0000  0.5000  2 V 2.40
Se  0.5000  0.0000  0.0000  2 V 2.40
Cl  0.5000  0.5000  0.5000  12 Se 3.39

Properties
crystal system = cubic
V = 22.08 Å³/atom
density = 4.9 g/cm³
size of the total moment = 0.0 μB/f.u.

=====

Top of the stability list: a, leading by 0.228 eV/atom.

=====

a.
Material: VSeCl
Method: DFT, PBE
State: relaxed

Cell lengths 3.4983, 3.4983, 6.6358 Å; angles 90.00, 90.00, 120.00 degrees
With the nearest neighbours (Å) after each atom.
Positions (direct):
Cl  0.0000  0.0000  0.1076  3 V 2.53
Se  0.3333  0.6667  0.5554  3 V 2.49
V  0.6667  0.3333  0.3370  3 Se 2.49, 3 Cl 2.53

Properties
crystal system = trigonal
V = 23.44 Å³/atom
density = 3.9 g/cm³
size of the total moment = 2.0 μB/f.u.

=====

b.
Material: VSeCl
Method: DFT, PBE
State: relaxed

Cell lengths 3.5793, 6.0303, 7.0809 Å; angles 102.72, 104.64, 90.00 degrees
With the nearest neighbours (Å) after each atom.
Positions (direct):
V  0.2521  0.7146  0.5042  3 Se 2.43-2.50, 3 Cl 2.52-2.55
V  0.7479  0.2854  0.4958  3 Se 2.43-2.50, 3 Cl 2.52-2.55
Se  0.8698  0.6473  0.7397  3 V 2.43-2.50
Se  0.1301  0.3527  0.2603  3 V 2.43-2.50
Cl  0.6554  0.8676  0.3107  3 V 2.52-2.55
Cl  0.3446  0.1324  0.6893  3 V 2.52-2.55

Properties
crystal system = monoclinic
V = 24.00 Å³/atom
density = 3.8 g/cm³
size of the total moment = 2.0 μB/f.u.

=====

Top of the stability list: b, leading by 0.077 eV/atom.

=====

a.
Material: WSe3Cl
Method: DFT, PBE
State: relaxed

Cell lengths 4.8683, 4.8683, 4.8683 Å; angles 90.00, 90.00, 90.00 degrees
With the nearest neighbours (Å) after each atom.
Positions (direct):
Se  0.0000  0.5000  0.0000  2 Cl 2.43
Se  0.0000  0.0000  0.5000  2 Cl 2.43
Se  0.5000  0.0000  0.0000  2 Cl 2.43
W  0.5000  0.5000  0.5000  12 Se 3.44
Cl  0.0000  0.0000  0.0000  6 Se 2.43

Properties
crystal system = cubic
V = 23.08 Å³/atom
density = 6.6 g/cm³
size of the total moment = 2.8 μB/f.u.

=====

b.
Material: WSe3Cl
Method: DFT, PBE
State: relaxed

Cell lengths 4.6933, 8.5573, 9.4093 Å; angles 116.74, 89.97, 105.94 degrees
With the nearest neighbours (Å) after each atom.
Positions (direct):
W  0.1534  0.3067  0.8057  4 Se 2.28-2.55
W  0.8466  0.6933  0.1943  4 Se 2.28-2.55
Se  0.1728  0.3449  0.5785  1 W 2.30
Se  0.6850  0.3700  0.9261  3 W 2.55-2.68
Se  0.0012  0.0024  0.2811  1 W 2.28
Se  0.8272  0.6551  0.4215  1 W 2.30
Se  0.9988  0.9976  0.7189  1 W 2.28
Se  0.3150  0.6300  0.0739  3 W 2.55-2.68
Cl  0.3513  0.7039  0.7024  1 Se 2.62
Cl  0.6487  0.2961  0.2976  1 Se 2.62

Properties
crystal system = monoclinic
V = 32.12 Å³/atom
density = 4.7 g/cm³
size of the total moment = 0.0 μB/f.u.

=====

Top of the stability list: b, leading by 1.685 eV/atom.

=====

a.
Material: Y2SeCl
Method: DFT, PBE
State: relaxed

Cell lengths 4.9639, 4.9639, 4.9639 Å; angles 60.00, 60.00, 60.00 degrees
With the nearest neighbours (Å) after each atom.
Positions (direct):
Y  0.2500  0.2500  0.2500  4 Se 3.04, 4 Cl 3.04
Y  0.7500  0.7500  0.7500  4 Cl 3.04, 4 Se 3.04
Se  0.5000  0.5000  0.5000  8 Y 3.04
Cl  0.0000  0.0000  0.0000  8 Y 3.04

Properties
crystal system = cubic
V = 21.62 Å³/atom
density = 5.6 g/cm³
size of the total moment = 0.0 μB/f.u.

=====

b.
Material: Y2SeCl
Method: DFT, PBE
State: relaxed

Cell lengths 4.1501, 4.1501, 6.7261 Å; angles 72.08, 72.08, 59.82 degrees
With the nearest neighbours (Å) after each atom.
Positions (direct):
Cl  0.7500  0.7500  0.7500  6 Y 2.90
Se  0.2500  0.2500  0.2500  6 Y 2.83
Y  0.9970  0.9970  0.0094  3 Se 2.83, 3 Cl 2.90
Y  0.5030  0.5030  0.4906  3 Se 2.83, 3 Cl 2.90

Properties
crystal system = monoclinic
V = 23.41 Å³/atom
density = 5.2 g/cm³
size of the total moment = 0.0 μB/f.u.

=====

c.
Material: Y2SeCl
Method: DFT, PBE
State: relaxed

Cell lengths 10.0137, 10.0137, 10.0137 Å; angles 22.75, 22.75, 22.75 degrees
With the nearest neighbours (Å) after each atom.
Positions (direct):
Cl  0.5185  0.5185  0.5185  3 Y 2.79
Se  0.7300  0.7300  0.7300  3 Y 2.74
Y  0.0117  0.0117  0.0117  3 Se 2.74
Y  0.2398  0.2398  0.2398  3 Cl 2.79

Properties
crystal system = trigonal
V = 32.94 Å³/atom
density = 3.7 g/cm³
size of the total moment = 1.0 μB/f.u.

=====

Top of the stability list: b, leading by 0.108 eV/atom.

=====

a.
Material: Y2SeCl
Method: DFT, PBE
State: relaxed

Cell lengths 4.2970, 3.7727, 6.4116 Å; angles 91.12, 90.00, 90.00 degrees
With the nearest neighbours (Å) after each atom.
Positions (direct):
Cl  0.5000  0.2500  0.2500  4 Y 2.81
Se  0.5000  0.7500  0.7500  4 Y 2.85
Y  0.0000  0.0342  0.9939  2 Cl 2.81, 2 Se 2.85
Y  0.0000  0.4658  0.5061  2 Cl 2.81, 2 Se 2.85

Properties
crystal system = monoclinic
V = 25.98 Å³/atom
density = 4.7 g/cm³
size of the total moment = 0.0 μB/f.u.

=====

b.
Material: Y2SeCl
Method: DFT, PBE
State: relaxed

Cell lengths 3.8207, 3.8207, 8.6926 Å; angles 90.00, 90.00, 122.14 degrees
With the nearest neighbours (Å) after each atom.
Positions (direct):
Cl  0.5000  0.5000  0.2500  4 Y 2.94
Se  0.5000  0.5000  0.7500  4 Y 2.77
Y  0.0000  0.0000  0.9868  2 Se 2.77, 2 Cl 2.94
Y  0.0000  0.0000  0.5132  2 Se 2.77, 2 Cl 2.94

Properties
crystal system = orthorhombic
V = 26.86 Å³/atom
density = 4.5 g/cm³
size of the total moment = 0.0 μB/f.u.

=====

c.
Material: Y2SeCl
Method: DFT, PBE
State: relaxed

Cell lengths 3.9131, 3.9131, 6.1427 Å; angles 90.00, 90.00, 90.00 degrees
With the nearest neighbours (Å) after each atom.
Positions (direct):
Cl  0.0000  0.0000  0.4271  5 Y 2.86-2.93
Se  0.5000  0.5000  0.8121  6 Y 2.89-3.08
Y  0.0000  0.0000  0.9500  4 Se 2.89, 2 Cl 2.93-3.21
Y  0.5000  0.5000  0.3108  4 Cl 2.86, 2 Se 3.06-3.08

Properties
crystal system = tetragonal
V = 23.51 Å³/atom
density = 5.2 g/cm³
size of the total moment = 0.0 μB/f.u.

=====

d.
Material: Y2SeCl
Method: DFT, PBE
State: relaxed

Cell lengths 5.2437, 5.2437, 5.2437 Å; angles 60.00, 60.00, 60.00 degrees
With the nearest neighbours (Å) after each atom.
Positions (direct):
Cl  0.5000  0.5000  0.5000  4 Se 3.21, 4 Y 3.21
Se  0.2500  0.2500  0.2500  4 Cl 3.21, 4 Y 3.21
Y  0.0000  0.0000  0.0000  4 Y 3.21, 4 Se 3.21
Y  0.7500  0.7500  0.7500  4 Y 3.21, 4 Cl 3.21

Properties
crystal system = cubic
V = 25.49 Å³/atom
density = 4.8 g/cm³
size of the total moment = 3.0 μB/f.u.

=====

Top of the stability list: c, leading by 0.203 eV/atom.

=====

a.
Material: YSeCl2
Method: DFT, PBE
State: relaxed

Cell lengths 7.3999, 7.3999, 7.3510 Å; angles 45.37, 45.37, 28.93 degrees
With the nearest neighbours (Å) after each atom.
Positions (direct):
Y  0.2771  0.2771  0.0707  4 Cl 2.68, 2 Se 2.96
Se  0.5627  0.5627  0.4998  3 Y 2.96-3.07
Cl  0.9054  0.9054  0.0896  2 Y 2.68
Cl  0.7548  0.7548  0.8398  2 Y 2.68

Properties
crystal system = monoclinic
V = 33.50 Å³/atom
density = 3.0 g/cm³
size of the total moment = 0.8 μB/f.u.

=====

b.
Material: YSeCl2
Method: DFT, PBE
State: relaxed

Cell lengths 4.9691, 4.9691, 4.9691 Å; angles 60.00, 60.00, 60.00 degrees
With the nearest neighbours (Å) after each atom.
Positions (direct):
Y  0.5000  0.5000  0.5000  8 Cl 3.04
Se  0.0000  0.0000  0.0000  8 Cl 3.04
Cl  0.2500  0.2500  0.2500  4 Se 3.04, 4 Y 3.04
Cl  0.7500  0.7500  0.7500  4 Se 3.04, 4 Y 3.04

Properties
crystal system = cubic
V = 21.69 Å³/atom
density = 4.6 g/cm³
size of the total moment = 1.0 μB/f.u.

=====

Top of the stability list: a, leading by 0.557 eV/atom.

=====

a.
Material: YSeCl2
Method: DFT, PBE
State: relaxed

Cell lengths 4.1756, 4.1756, 5.3787 Å; angles 90.00, 90.00, 90.00 degrees
With the nearest neighbours (Å) after each atom.
Positions (direct):
Y  0.5000  0.5000  0.7095  2 Cl 2.59-2.79
Se  0.0000  0.0000  0.5386  2 Cl 2.61-2.77
Cl  0.0000  0.0000  0.0244  2 Se 2.61-2.77
Cl  0.5000  0.5000  0.2274  2 Y 2.59-2.79

Properties
crystal system = tetragonal
V = 23.44 Å³/atom
density = 4.2 g/cm³
size of the total moment = 0.0 μB/f.u.

=====

b.
Material: YSeCl2
Method: DFT, PBE
State: relaxed

Cell lengths 9.9320, 9.9320, 9.9320 Å; angles 20.86, 20.86, 20.86 degrees
With the nearest neighbours (Å) after each atom.
Positions (direct):
Y  0.7500  0.7500  0.7500  6 Cl 2.68
Se  0.2500  0.2500  0.2500  6 Se 3.60, 6 Cl 3.78
Cl  0.0250  0.0250  0.0250  3 Y 2.68
Cl  0.4750  0.4750  0.4750  3 Y 2.68

Properties
crystal system = trigonal
V = 27.19 Å³/atom
density = 3.6 g/cm³
size of the total moment = 0.0 μB/f.u.

=====

Top of the stability list: a, leading by 0.230 eV/atom.